No. 1
DFT (PBE) results for a relaxed Na12SrTl6 crystal.

Lattice parameters (Å, degrees): 8.986 8.986 8.986 104.34 104.34 104.34
Element x y z (fractional)
Na 0.000 0.389 0.611
Na 0.000 0.611 0.389
Na 0.097 0.097 0.360
Na 0.097 0.360 0.097
Na 0.360 0.097 0.097
Na 0.389 0.000 0.611
Na 0.389 0.611 0.000
Na 0.611 0.000 0.389
Na 0.611 0.389 0.000
Na 0.640 0.903 0.903
Na 0.903 0.640 0.903
Na 0.903 0.903 0.640
Sr 0.500 0.500 0.500
Tl 0.211 0.780 0.780
Tl 0.220 0.220 0.789
Tl 0.220 0.789 0.220
Tl 0.780 0.211 0.780
Tl 0.780 0.780 0.211
Tl 0.789 0.220 0.220

Calculated values
Volume = 643 Å³/f.u.
Total energy = -1.67 eV per atom
Calculated density = 4.11 Mg/m³
Symmetry = R-3m (166)
Energy relative to the elements = 0.00 eV/atom
Polymorph energy (0 for the lowest one) = 78.8 meV/atom
D(E_F) = 0.605 states/eV per atom
M_tot = 0.000 μB per atom


No. 2
DFT (PBE) results for a relaxed Ca5ZnCd2 crystal.

Lattice parameters (Å, degrees): 6.924 13.241 5.318 90.00 90.00 90.00
Element x y z (fractional)
Ca 0.000 0.000 0.000
Ca 0.123 0.279 0.000
Ca 0.169 0.601 0.500
Ca 0.331 0.101 0.500
Ca 0.377 0.779 0.000
Ca 0.500 0.500 0.000
Ca 0.623 0.221 0.000
Ca 0.669 0.899 0.500
Ca 0.831 0.399 0.500
Ca 0.877 0.721 0.000
Zn 0.000 0.500 0.000
Zn 0.500 0.000 0.000
Cd 0.143 0.861 0.500
Cd 0.357 0.361 0.500
Cd 0.643 0.639 0.500
Cd 0.857 0.139 0.500

Calculated values
Volume = 244 Å³/f.u.
Total energy = -1.87 eV per atom
Calculated density = 3.34 Mg/m³
Symmetry = Pbam (55)
Energy relative to the elements = -0.23 eV/atom
D(E_F) = 0.946 states/eV per atom
M_tot = 0.000 μB per atom


No. 3
DFT (PBE) results for a relaxed Zn3CdMo crystal.

Lattice parameters (Å, degrees): 4.987 4.987 4.987 90.00 90.00 90.00
Element x y z (fractional)
Zn 0.000 0.000 0.500
Zn 0.000 0.500 0.000
Zn 0.500 0.000 0.000
Cd 0.500 0.500 0.500
Mo 0.000 0.000 0.000

Calculated values
Volume = 124 Å³/f.u.
Total energy = -2.17 eV per atom
Calculated density = 5.42 Mg/m³
Symmetry = Pm-3m (221)
Energy relative to the elements = 0.95 eV/atom
Polymorph energy (0 for the lowest one) = 0.0 meV/atom
D(E_F) = 0.916 states/eV per atom
M_tot = 0.427 μB per atom


No. 4
DFT (PBE) results for a relaxed LiSiB3 crystal.

Lattice parameters (Å, degrees): 3.698 3.698 3.698 90.00 90.00 90.00
Element x y z (fractional)
Li 0.000 0.000 0.000
Si 0.500 0.500 0.500
B 0.000 0.000 0.500
B 0.000 0.500 0.000
B 0.500 0.000 0.000

Calculated values
Volume = 51 Å³/f.u.
Uncorrected formation energy = 191 kJ/mol of atoms
Total energy = -3.49 eV per atom
Calculated density = 2.21 Mg/m³
Symmetry = Pm-3m (221)
Polymorph energy (0 for the lowest one) = 643.7 meV/atom
D(E_F) = 0.372 states/eV per atom
M_tot = 0.000 μB per atom


No. 5
DFT (PBE) results for a relaxed Rb2DyAuCl6 crystal.

Lattice parameters (Å, degrees): 7.617 7.617 7.617 60.00 60.00 60.00
Element x y z (fractional)
Rb 0.250 0.250 0.250
Rb 0.750 0.750 0.750
Dy 0.000 0.000 0.000
Au 0.500 0.500 0.500
Cl 0.244 0.244 0.756
Cl 0.244 0.756 0.244
Cl 0.244 0.756 0.756
Cl 0.756 0.244 0.244
Cl 0.756 0.244 0.756
Cl 0.756 0.756 0.244

Calculated values
Volume = 312 Å³/f.u.
Uncorrected formation energy = -162 kJ/mol of atoms
Total energy = -3.76 eV per atom
Calculated density = 3.95 Mg/m³
Symmetry = Fm-3m (225)
Polymorph energy (0 for the lowest one) = 34.4 meV/atom
D(E_F) = 0.000 states/eV per atom
M_tot = 0.000 μB per atom


No. 6
DFT (PBE) results for a relaxed Nd6MgAg5 crystal.

Lattice parameters (Å, degrees): 5.352 7.488 8.483 90.00 108.08 90.00
Element x y z (fractional)
Nd 0.000 0.240 0.000
Nd 0.000 0.760 0.000
Nd 0.329 0.249 0.659
Nd 0.329 0.751 0.659
Nd 0.671 0.249 0.341
Nd 0.671 0.751 0.341
Mg 0.500 0.500 0.000
Ag 0.156 0.500 0.309
Ag 0.168 0.000 0.333
Ag 0.500 0.000 0.000
Ag 0.832 0.000 0.667
Ag 0.844 0.500 0.691

Calculated values
Volume = 323 Å³/f.u.
Total energy = -3.93 eV per atom
Calculated density = 7.34 Mg/m³
Symmetry = P2/m (10)
Energy relative to the elements = -0.22 eV/atom
D(E_F) = 0.815 states/eV per atom
M_tot = 0.000 μB per atom


No. 7
DFT (PBE) results for a relaxed CuS2Cl crystal.

Lattice parameters (Å, degrees): 7.448 4.797 12.715 90.00 117.73 90.00
Element x y z (fractional)
Cu 0.184 0.173 0.249
Cu 0.184 0.327 0.749
Cu 0.816 0.673 0.251
Cu 0.816 0.827 0.751
S 0.314 0.014 0.672
S 0.314 0.486 0.172
S 0.436 0.641 0.827
S 0.436 0.859 0.327
S 0.564 0.141 0.673
S 0.564 0.359 0.173
S 0.686 0.514 0.828
S 0.686 0.986 0.328
Cl 0.100 0.076 0.875
Cl 0.100 0.424 0.375
Cl 0.900 0.576 0.625
Cl 0.900 0.924 0.125

Calculated values
Volume = 101 Å³/f.u.
Uncorrected formation energy = -28 kJ/mol of atoms
Total energy = -3.84 eV per atom
Calculated density = 2.69 Mg/m³
Symmetry = P2_1/c (14)
Polymorph energy (0 for the lowest one) = 0.0 meV/atom
M_tot = 0.000 μB per atom


No. 8
DFT (PBE) results for a relaxed Ho3As5Se12 crystal.

Lattice parameters (Å, degrees): 14.093 14.093 14.093 109.47 109.47 109.47
Element x y z (fractional)
Ho 0.125 0.250 0.375
Ho 0.125 0.375 0.750
Ho 0.250 0.375 0.125
Ho 0.250 0.875 0.625
Ho 0.375 0.125 0.250
Ho 0.375 0.750 0.125
Ho 0.625 0.250 0.875
Ho 0.625 0.875 0.750
Ho 0.750 0.125 0.375
Ho 0.750 0.625 0.875
Ho 0.875 0.625 0.250
Ho 0.875 0.750 0.625
As 0.000 0.000 0.000
As 0.000 0.000 0.500
As 0.000 0.500 0.000
As 0.000 0.500 0.500
As 0.125 0.750 0.875
As 0.125 0.875 0.250
As 0.250 0.125 0.875
As 0.250 0.625 0.375
As 0.375 0.250 0.625
As 0.375 0.625 0.750
As 0.500 0.000 0.000
As 0.500 0.000 0.500
As 0.500 0.500 0.000
As 0.500 0.500 0.500
As 0.625 0.375 0.250
As 0.625 0.750 0.375
As 0.750 0.375 0.625
As 0.750 0.875 0.125
As 0.875 0.125 0.750
As 0.875 0.250 0.125
Se 0.045 0.216 0.133
Se 0.045 0.329 0.912
Se 0.083 0.716 0.671
Se 0.083 0.867 0.412
Se 0.088 0.633 0.417
Se 0.088 0.955 0.671
Se 0.133 0.045 0.216
Se 0.133 0.588 0.917
Se 0.171 0.216 0.583
Se 0.171 0.455 0.588
Se 0.216 0.133 0.045
Se 0.216 0.583 0.171
Se 0.284 0.329 0.917
Se 0.284 0.455 0.367
Se 0.329 0.912 0.045
Se 0.329 0.917 0.284
Se 0.367 0.284 0.455
Se 0.367 0.583 0.912
Se 0.412 0.083 0.867
Se 0.412 0.829 0.545
Se 0.417 0.088 0.633
Se 0.417 0.829 0.784
Se 0.455 0.367 0.284
Se 0.455 0.588 0.171
Se 0.545 0.412 0.829
Se 0.545 0.633 0.716
Se 0.583 0.171 0.216
Se 0.583 0.912 0.367
Se 0.588 0.171 0.455
Se 0.588 0.917 0.133
Se 0.633 0.417 0.088
Se 0.633 0.716 0.545
Se 0.671 0.083 0.716
Se 0.671 0.088 0.955
Se 0.716 0.545 0.633
Se 0.716 0.671 0.083
Se 0.784 0.417 0.829
Se 0.784 0.867 0.955
Se 0.829 0.545 0.412
Se 0.829 0.784 0.417
Se 0.867 0.412 0.083
Se 0.867 0.955 0.784
Se 0.912 0.045 0.329
Se 0.912 0.367 0.583
Se 0.917 0.133 0.588
Se 0.917 0.284 0.329
Se 0.955 0.671 0.088
Se 0.955 0.784 0.867

Calculated values
Volume = 539 Å³/f.u.
Uncorrected formation energy = -60 kJ/mol of atoms
Total energy = -4.56 eV per atom
Calculated density = 5.60 Mg/m³
Symmetry = Ia-3d (230)
D(E_F) = 0.078 states/eV per atom
M_tot = 0.000 μB per atom


Q: Number 7 is which compound?
A: CuS2Cl